No. 1
Li3Mg | GGA-PBEsol | optimized geometry

Unit cell a=2.9435 b=4.8646 c=5.6503 alpha=90.00 beta=98.71 gamma=90.00
Last column: nearest neighbours and their distance in Å.
Space group P2/m (No. 10)
Inequivalent atoms, fractional coordinates:
Li 0.0000 0.0000 0.0000 x1  6 Li 2.92-2.94, 2 Mg 2.98
Li 0.1967 0.5000 0.7496 x2  7 Li 2.88-3.22, 2 Mg 3.01
Mg 0.5000 0.0000 0.5000 x1  2 Mg 2.94, 6 Li 2.98-3.01

Summary:
* DFT formation energy: -0.025 eV/atom
* N(E_F): 1.94 states/eV per cell
* total DFT energy (no corrections): -1.930 eV/atom

***

No. 2
Mn2FeSb | GGA-PBEsol | optimized geometry

Unit cell a=5.9242 b=5.9242 c=5.9242 alpha=90.00 beta=90.00 gamma=90.00
Last column: nearest neighbours and their distance in Å.
Space group Fm-3m (No. 225)
Inequivalent atoms, fractional coordinates:
Mn 0.2500 0.2500 0.2500 x8  4 Fe 2.57, 4 Sb 2.57
Fe 0.0000 0.0000 0.0000 x4  8 Mn 2.57
Sb 0.0000 0.0000 0.5000 x4  8 Mn 2.57

Summary:
* N(E_F): 19.72 states/eV per cell
* E_form (uncorrected): 199 meV per atom
* total DFT energy (no corrections): -8.061 eV/atom

***

No. 3
Ir8Ru | GGA-PBEsol | optimized geometry

Unit cell a=8.1065 b=8.1065 c=3.8240 alpha=90.00 beta=90.00 gamma=90.00
Last column: nearest neighbours and their distance in Å.
Space group I4/mmm (No. 139)
Inequivalent atoms, fractional coordinates:
Ir 0.0000 0.3319 0.0000 x8  1 Ru 2.69, 11 Ir 2.70-2.72
Ir 0.1649 0.1649 0.5000 x8  10 Ir 2.67-2.73, 2 Ru 2.69
Ru 0.0000 0.0000 0.0000 x2  12 Ir 2.69

Summary:
* DFT formation energy: -0.018 eV/atom
* N(E_F): 15.17 states/eV per cell
* total DFT energy (no corrections): -9.880 eV/atom

***

No. 4
TaB2Ir2 | GGA-PBEsol | optimized geometry

Unit cell a=3.7918 b=3.7918 c=8.5551 alpha=90.00 beta=90.00 gamma=90.00
Last column: nearest neighbours and their distance in Å.
Space group I4/mmm (No. 139)
Inequivalent atoms, fractional coordinates:
Ta 0.0000 0.0000 0.0000 x2  8 B 2.86, 10 Ir 2.95-3.04
B 0.0000 0.5000 0.2500 x4  4 Ir 2.10
Ir 0.0000 0.0000 0.3558 x4  4 B 2.10

Summary:
* DFT formation energy: -0.094 eV/atom
* N(E_F): 5.38 states/eV per cell
* total DFT energy (no corrections): -9.340 eV/atom

***

No. 5
Cs2LaZrPd | GGA-PBEsol | optimized geometry

Unit cell a=6.0231 b=6.0231 c=5.2722 alpha=90.00 beta=90.00 gamma=90.00
Last column: nearest neighbours and their distance in Å.
Space group P4/mmm (No. 123)
Inequivalent atoms, fractional coordinates:
Cs 0.0000 0.5000 0.0000 x2  2 Pd 3.01
La 0.0000 0.0000 0.5000 x1  8 Cs 4.00, 4 Zr 4.26
Zr 0.5000 0.5000 0.5000 x1  2 Pd 2.64
Pd 0.5000 0.5000 0.0000 x1  2 Zr 2.64

Summary:
* DFT formation energy: 0.946 eV/atom
* N(E_F): 7.51 states/eV per cell
* total DFT energy (no corrections): -3.510 eV/atom

***

No. 6
Li2InSb | GGA-PBEsol | optimized geometry

Unit cell a=3.8410 b=3.8410 c=5.6916 alpha=90.00 beta=90.00 gamma=90.00
Last column: nearest neighbours and their distance in Å.
Space group P4mm (No. 99)
Inequivalent atoms, fractional coordinates:
Li 0.0000 0.0000 0.0000 x1  2 Sb 2.84-2.85, 4 In 3.02, 4 Li 3.12
Li 0.5000 0.5000 0.2688 x1  2 In 2.83-2.86, 4 Sb 3.02, 4 Li 3.12
In 0.5000 0.5000 0.7669 x1  6 Li 2.83-3.02, 4 Sb 3.11
Sb 0.0000 0.0000 0.4993 x1  6 Li 2.84-3.02, 4 In 3.11

Summary:
* N(E_F): 1.26 states/eV per cell
* E_form (uncorrected): -319 meV per atom
* total DFT energy (no corrections): -3.187 eV/atom